[1]
# Co2Tc2W, optimized geometry, DFT GGA-PBE
data_Co2Tc2W
_cell_length_a 7.087
_cell_length_b 7.087
_cell_length_c 2.654
_cell_angle_alpha 90.00
_cell_angle_beta 90.00
_cell_angle_gamma 90.00
_space_group_name_H-M_alt 'P 4/m b m'
_space_group_IT_number 127
_space_group_name_Hall '-P 4 2ab'
loop_
_atom_site_label
_atom_site_fract_x
_atom_site_fract_y
_atom_site_fract_z
Co1 0.119 0.381 0.000
Tc1 0.176 0.676 0.500
W1 0.000 0.000 0.000
# Volume ... 133.31 Å³/cell
# DFT total energy ... -9.438 eV/atom
# Spin magnetization ... 0.00 μB per formula unit
# Energy of formation ... 0.71 eV/f.u.


[2]
# Tl8Te4Se, optimized geometry, DFT GGA-PBE
data_Tl8Te4Se
_cell_length_a 9.3066
_cell_length_b 9.3066
_cell_length_c 20.3740
_cell_angle_alpha 90.00
_cell_angle_beta 90.00
_cell_angle_gamma 120.00
_space_group_name_H-M_alt 'R -3 m'
_space_group_IT_number 166
_space_group_name_Hall '-R 3 2"'
loop_
_atom_site_label
_atom_site_fract_x
_atom_site_fract_y
_atom_site_fract_z
Tl1 0.0000 0.0000 0.2434
Tl2 0.0082 0.5041 0.2447
Te1 0.0000 0.0000 0.0000
Te2 0.0000 0.5000 0.0000
Se1 0.0000 0.0000 0.5000
# Volume ... 1528.25 Å³/cell
# DFT total energy ... -2.906 eV/atom
# Formation energy without anion corrections ... -0.22 eV per atom
# Spin magnetization ... 0.00 μB per formula unit


Among the records above, which one has the highest DFT total energy? Tl8Te4Se


What did the second record say?
# Tl8Te4Se, optimized geometry, DFT GGA-PBE
data_Tl8Te4Se
_cell_length_a 9.3066
_cell_length_b 9.3066
_cell_length_c 20.3740
_cell_angle_alpha 90.00
_cell_angle_beta 90.00
_cell_angle_gamma 120.00
_space_group_name_H-M_alt 'R -3 m'
_space_group_IT_number 166
_space_group_name_Hall '-R 3 2"'
loop_
_atom_site_label
_atom_site_fract_x
_atom_site_fract_y
_atom_site_fract_z
Tl1 0.0000 0.0000 0.2434
Tl2 0.0082 0.5041 0.2447
Te1 0.0000 0.0000 0.0000
Te2 0.0000 0.5000 0.0000
Se1 0.0000 0.0000 0.5000
# Volume ... 1528.25 Å³/cell
# DFT total energy ... -2.906 eV/atom
# Formation energy without anion corrections ... -0.22 eV per atom
# Spin magnetization ... 0.00 μB per formula unit